(1)
A plane-wave DFT calculation with PBE was carried out for a geometry-optimized Tm4Tl2Zn structure.

POSCAR file:
```
Tm4Tl2Zn
1.0
-3.066 -0.692 4.067
-4.968 -1.123 -0.689
-0.833 -8.773 1.128
Tm Zn Tl
4 1 2
Cartesian
-7.348 -4.854 3.379
-3.740 -8.362 2.254
-1.520 -5.734 1.127
-5.127 -2.225 2.252
0.000 0.000 0.000
-6.664 -7.882 3.379
-2.204 -2.706 1.127
```

N(E_F): 0.81 states/eV/atom
energy above the lowest structure with this stoichiometry: 0 meV per atom

(2)
A plane-wave DFT calculation with PBE was carried out for a geometry-optimized TmZrTl structure.

POSCAR file:
```
TmZrTl
1.0
-0.195 -2.869 1.263
3.695 -1.692 -3.272
1.331 1.957 4.650
Tm Zr Tl
1 1 1
Cartesian
2.086 0.260 2.221
-0.032 -0.476 0.210
2.777 -2.388 0.210
```

N(E_F): 1.38 states/eV/atom
energy above the lowest structure with this stoichiometry: 402 meV per atom

(3)
A plane-wave DFT calculation with PBE was carried out for a geometry-optimized TmZrTl structure.

POSCAR file:
```
TmZrTl
1.0
-0.825 -3.333 0.455
1.269 -0.742 -3.136
5.508 0.969 3.911
Zr Tm Tl
1 1 1
Cartesian
3.301 -0.615 1.481
1.555 -2.286 -0.743
5.327 -2.989 0.949
```

N(E_F): 0.73 states/eV/atom
energy above the lowest structure with this stoichiometry: 69 meV per atom

(4)
A plane-wave DFT calculation with PBE was carried out for a geometry-optimized Tm5ZrTl3 structure.

POSCAR file:
```
Tm5ZrTl3
1.0
-1.542 -5.872 2.472
6.680 0.866 6.223
-8.450 3.016 1.894
Zr Tl Tm
2 6 10
Cartesian
0.000 0.000 0.000
-0.771 -2.936 1.236
1.941 -1.166 2.786
3.351 0.449 7.501
3.197 -3.839 5.909
-1.539 1.062 5.908
-1.773 -3.052 4.681
-6.663 -2.438 3.089
-2.373 -1.736 7.431
0.934 -4.133 3.802
-0.939 -0.253 3.158
0.865 -1.353 6.016
2.879 -2.594 8.670
-6.191 0.604 1.919
4.204 -0.873 4.893
1.636 1.583 4.780
-4.178 -0.636 4.573
-3.407 2.300 3.337
```

N(E_F): 0.89 states/eV/atom

(5)
A plane-wave DFT calculation with PBE was carried out for a geometry-optimized Tm2ZrTl3 structure.

POSCAR file:
```
Tm2ZrTl3
1.0
3.461 0.000 0.000
0.000 3.461 0.000
0.000 0.000 12.596
Tl Tm Zr
3 2 1
Cartesian
0.000 0.000 8.322
0.000 0.000 0.000
0.000 0.000 4.274
1.731 1.731 10.459
1.731 1.731 2.137
1.731 1.731 6.298
```

N(E_F): 0.88 states/eV/atom

(6)
A plane-wave DFT calculation with PBE was carried out for a geometry-optimized Tm4ZrTl structure.

POSCAR file:
```
Tm4ZrTl
1.0
-4.976 0.834 -0.640
-1.030 -4.487 2.163
-0.308 3.272 6.644
Tl Tm Zr
1 4 1
Cartesian
-3.315 1.453 7.386
-0.748 0.197 6.004
-3.751 -1.631 6.765
-3.600 -3.223 3.527
-0.597 -1.397 2.766
-1.188 -2.844 5.466
```

N(E_F): 1.30 states/eV/atom

(7)
A plane-wave DFT calculation with PBE was carried out for a geometry-optimized Tm7ZrTl4 structure.

POSCAR file:
```
Tm7ZrTl4
1.0
-0.318 -5.358 1.844
6.920 -1.530 5.483
-2.302 -0.276 7.534
Tm Tl Zr
7 4 1
Cartesian
-0.356 -1.379 4.665
3.025 -2.634 10.336
4.656 -5.785 10.196
-0.159 -2.679 0.922
1.275 -4.530 4.524
0.781 -5.811 9.453
3.519 -1.354 5.407
2.092 -4.951 12.178
2.208 -2.214 2.682
0.446 -3.562 7.196
3.854 -3.603 7.664
0.000 0.000 0.000
```

N(E_F): 1.10 states/eV/atom

(8)
A plane-wave DFT calculation with PBE was carried out for a geometry-optimized Tm4ZrTl5 structure.

POSCAR file:
```
Tm4ZrTl5
1.0
-0.251 -0.730 3.461
-3.444 -0.740 -0.405
4.628 -19.483 -3.774
Tl Tm Zr
5 4 1
Cartesian
-1.407 -2.587 1.169
1.407 -14.438 -1.126
0.467 -10.476 -0.359
2.341 -18.366 -1.887
-0.474 -6.515 0.408
3.726 -15.687 -3.039
2.786 -11.731 -2.272
0.902 -3.796 -0.735
1.841 -7.753 -1.502
0.000 0.000 0.000
```

N(E_F): 0.56 states/eV/atom

(9)
A plane-wave DFT calculation with PBE was carried out for a geometry-optimized TmZrTl structure.

POSCAR file:
```
TmZrTl
1.0
-1.474 -3.016 0.615
2.170 -0.535 2.580
-9.123 7.825 7.037
Zr Tm Tl
2 2 2
Cartesian
-3.387 0.799 5.272
-5.041 3.475 4.960
-7.703 5.310 7.579
-0.725 -1.036 2.652
-6.042 2.630 7.884
-2.385 1.644 2.347
```

N(E_F): 0.98 states/eV/atom
energy above the lowest structure with this stoichiometry: 205 meV per atom

(10)
A plane-wave DFT calculation with PBE was carried out for a geometry-optimized TmZr3Tl2 structure.

POSCAR file:
```
TmZr3Tl2
1.0
-2.206 1.628 4.060
-6.656 -5.966 -1.226
7.622 -2.515 2.194
Tm Tl Zr
2 4 6
Cartesian
0.962 -1.097 0.962
-2.203 -5.756 4.066
-6.609 -4.262 1.074
-2.808 -5.925 0.849
1.567 -0.928 4.179
5.368 -2.591 3.955
-1.102 -2.432 3.331
-0.139 -4.421 1.698
-1.929 -2.459 -0.063
2.692 -3.419 2.833
0.688 -4.394 5.091
-3.933 -3.434 2.195
```

N(E_F): 0.93 states/eV/atom

no.,formation energy (kJ/mol of atoms),total magnetic moment (Bohr magnetons per cell),theoretical density (kg/m3)
1,-18,0.00,9966
2,20,0.00,10419
3,-12,0.00,10094
4,-20,2.87,10777
5,-18,0.36,11469
6,34,0.87,8411
7,3,0.00,10209
8,-23,0.05,11594
9,1,0.00,9656
10,-3,0.00,9526